A relaxed structure of AgSb3Ir, computed with PBE-GGA.

DFT total energy (eV per atom): -4.25
Calculated volume (Å³/cell): 142

The structure in CIF format:
```
data_AgSb3Ir
_chemical_formula_sum 'Ag1 Sb3 Ir1'
_cell_length_a 5.2134
_cell_length_b 5.2134
_cell_length_c 5.2134
_cell_angle_alpha 90.00
_cell_angle_beta 90.00
_cell_angle_gamma 90.00
_space_group_name_H-M_alt 'P 1'
_space_group_IT_number 1
_space_group_name_Hall 'P 1'
loop_
_atom_site_label
_atom_site_type_symbol
_atom_site_fract_x
_atom_site_fract_y
_atom_site_fract_z
Ag1 Ag 0.0000 0.0000 0.0000
Sb1 Sb 0.0000 0.5000 0.5000
Sb2 Sb 0.5000 0.0000 0.5000
Sb3 Sb 0.5000 0.5000 0.0000
Ir1 Ir 0.5000 0.5000 0.5000
```

=====

A relaxed structure of Ag2SbIr, computed with PBE-GGA.

DFT total energy (eV per atom): -4.38
Calculated volume (Å³/cell): 75

The structure in CIF format:
```
data_Ag2SbIr
_chemical_formula_sum 'Ag2 Sb1 Ir1'
_cell_length_a 3.1664
_cell_length_b 5.2030
_cell_length_c 4.5548
_cell_angle_alpha 90.00
_cell_angle_beta 90.67
_cell_angle_gamma 90.00
_space_group_name_H-M_alt 'P 1'
_space_group_IT_number 1
_space_group_name_Hall 'P 1'
loop_
_atom_site_label
_atom_site_type_symbol
_atom_site_fract_x
_atom_site_fract_y
_atom_site_fract_z
Ag1 Ag 0.2478 0.0000 0.2458
Ag2 Ag 0.7522 0.0000 0.7542
Sb1 Sb 0.0000 0.5000 0.5000
Ir1 Ir 0.5000 0.5000 0.0000
```

=====

Q: Which formula does entry 2 have?
A: Ag2SbIr

=====

Q: Which formula does entry 2 have?
A: Ag2SbIr